# Hf2TiCd2 (PBE, relaxed)
data_Hf2TiCd2
_chemical_formula_sum 'Hf4 Ti2 Cd4'
_cell_length_a 3.021
_cell_length_b 23.223
_cell_length_c 3.035
_cell_angle_alpha 90.00
_cell_angle_beta 90.00
_cell_angle_gamma 90.00
_space_group_name_H-M_alt 'P 1'
_space_group_IT_number 1
loop_
_space_group_symop_operation_xyz
'x,y,z'
loop_
_atom_site_label
_atom_site_type_symbol
_atom_site_fract_x
_atom_site_fract_y
_atom_site_fract_z
Hf1 Hf 0.000 0.089 0.000
Hf2 Hf 0.000 0.911 0.000
Hf3 Hf 0.500 0.411 0.000
Hf4 Hf 0.500 0.589 0.000
Ti1 Ti 0.000 0.500 0.500
Ti2 Ti 0.500 0.000 0.500
Cd1 Cd 0.000 0.307 0.500
Cd2 Cd 0.000 0.693 0.500
Cd3 Cd 0.500 0.193 0.500
Cd4 Cd 0.500 0.807 0.500
# magnetic moment	0.000	μB per formula unit
# calculated density	9.82	g/cm³
# calculated formation energy	-0.012	eV per atom
# crystal system	orthorhombic
# distance to the lowest polymorph of the same formula	0	meV/atom